Run one
A plane-wave DFT calculation with PBE-GGA was carried out for crystalline RhAuCl at its relaxed geometry.

Results
Space-group type ... Cm, No. 8
Magnetic moment ... 0.000 μB per cell

Lattice parameters (Å, degrees): 8.556 2.954 12.003 90.00 127.94 90.00
Positions (direct):
Au  0.972  0.500  0.225
Au  0.317  0.000  0.345
Au  0.972  0.000  0.725
Au  0.317  0.500  0.845
Cl  0.751  0.000  0.873
Cl  0.751  0.500  0.373
Cl  0.282  0.500  0.612
Cl  0.282  0.000  0.112
Rh  0.655  0.000  0.018
Rh  0.520  0.500  0.123
Rh  0.520  0.000  0.623
Rh  0.655  0.500  0.518


Run two
A plane-wave DFT calculation with PBE-GGA was carried out for crystalline RhAuCl at its relaxed geometry.

Results
Space-group type ... C2/m, No. 12
Magnetic moment ... 0.000 μB per cell

Lattice parameters (Å, degrees): 6.272 3.200 13.149 90.00 112.20 90.00
Positions (direct):
Rh  0.000  0.000  0.500
Rh  0.500  0.000  0.000
Rh  0.500  0.500  0.500
Rh  0.000  0.500  0.000
Au  0.946  0.000  0.159
Au  0.054  0.500  0.341
Au  0.946  0.500  0.659
Au  0.054  0.000  0.841
Cl  0.391  0.000  0.601
Cl  0.609  0.000  0.399
Cl  0.609  0.500  0.899
Cl  0.391  0.500  0.101


Run three
A plane-wave DFT calculation with PBE-GGA was carried out for crystalline RhAuCl at its relaxed geometry.

Results
Space-group type ... Pmma, No. 51
Magnetic moment ... 0.000 μB per cell

Lattice parameters (Å, degrees): 4.782 4.560 5.487 90.00 90.00 90.00
Positions (direct):
Au  0.750  0.500  0.872
Au  0.250  0.500  0.128
Cl  0.250  0.000  0.715
Cl  0.750  0.000  0.285
Rh  0.250  0.500  0.619
Rh  0.750  0.500  0.381


Stability comparison, relative energies in eV/atom: run one 0.062; run two 0.000; run three 0.057